Entry one
DFT (PBE) results for a relaxed Ta2HgO crystal.

total magnetic moment	0.000	μB per cell
crystal system	tetragonal

Cell: 5.0967 5.0967 7.0323 Å, 68.75 68.75 90.00°
Element x y z (fractional)
O1 0.2500 0.7500 0.5000
O2 0.5000 0.5000 0.0000
Ta1 0.3750 0.5108 0.7500
Ta2 0.8750 0.7392 0.7500
Ta3 0.4892 0.1250 0.2500
Ta4 0.2608 0.6250 0.2500
Hg1 0.7500 0.2500 0.5000
Hg2 0.0000 0.0000 0.0000

Entry two
DFT (PBE) results for a relaxed Ta2HgO crystal.

total magnetic moment	0.000	μB per cell
crystal system	cubic

Cell: 4.4947 4.4947 4.4947 Å, 60.00 60.00 60.00°
Element x y z (fractional)
Hg1 0.5000 0.5000 0.5000
Ta1 0.7500 0.7500 0.7500
Ta2 0.2500 0.2500 0.2500
O1 0.0000 0.0000 0.0000

Most stable pick: entry one. Distance to second place: 485 meV/atom.

Entry one
DFT (PBE) results for a relaxed TcHg2O5 crystal.

total magnetic moment	0.780	μB per cell
crystal system	orthorhombic

Cell: 3.8200 6.3011 10.9233 Å, 90.00 90.00 107.65°
Element x y z (fractional)
O1 0.0513 0.1027 0.3793
O2 0.9487 0.8973 0.6207
O3 0.6590 0.3180 0.2500
O4 0.3410 0.6820 0.7500
O5 0.7238 0.4477 0.8765
O6 0.2762 0.5523 0.3765
O7 0.2762 0.5523 0.1235
O8 0.0513 0.1027 0.1207
O9 0.7238 0.4477 0.6235
O10 0.9487 0.8973 0.8793
Hg1 0.1408 0.2816 0.9183
Hg2 0.8592 0.7184 0.0817
Hg3 0.8592 0.7184 0.4183
Hg4 0.1408 0.2816 0.5817
Tc1 0.8521 0.7042 0.7500
Tc2 0.1479 0.2958 0.2500

Entry two
DFT (PBE) results for a relaxed TcHg2O5 crystal.

total magnetic moment	0.860	μB per cell
crystal system	tetragonal

Cell: 6.6597 6.6590 6.2488 Å, 122.23 122.19 90.00°
Element x y z (fractional)
Hg1 0.0833 0.5833 0.1665
Hg2 0.5830 0.0831 0.1660
O1 0.2237 0.8473 0.1546
O2 0.8471 0.9307 0.1542
O3 0.9308 0.3073 0.1545
O4 0.3071 0.2236 0.1542
O5 0.7973 0.7970 0.5945
Tc1 0.0047 0.0047 0.0094

Most stable pick: entry two. Distance to second place: 85 meV/atom.